## CaSi2H (PBE)

Data for a relaxed structure of CaSi2H. Values from VASP.

Cell and atoms, written as Quantum ESPRESSO input:
```
&SYSTEM
  ibrav = 0, nat = 8, ntyp = 3
/
ATOMIC_SPECIES
Ca 40.08 Ca.upf
Si 28.09 Si.upf
H 1.01 H.upf
CELL_PARAMETERS angstrom
5.808 -1.911 0.000
5.808 1.911 0.000
-1.179 0.000 6.137
ATOMIC_POSITIONS crystal
Ca 0.000 0.000 0.000
Ca 0.623 0.623 0.501
Si 0.240 0.240 0.860
Si 0.379 0.379 0.624
Si 0.742 0.742 0.083
Si 0.884 0.884 0.406
H 0.021 0.021 0.387
H 0.489 0.489 0.187
```

Output
Excess energy over the best structure of this formula in the dataset in meV per atom: 32
Calculated total energy in eV for the cell shown: -34.38
Mass density in kg/m3: 2371
Spin magnetization in Bohr magnetons per cell: 0.0

## TbTi4Co5 (PBE)

Data for a relaxed structure of TbTi4Co5. Values from VASP.

Cell and atoms, written as Quantum ESPRESSO input:
```
&SYSTEM
  ibrav = 0, nat = 10, ntyp = 3
/
ATOMIC_SPECIES
Tb 158.93 Tb.upf
Ti 47.87 Ti.upf
Co 58.93 Co.upf
CELL_PARAMETERS angstrom
3.011 0.000 0.000
0.000 3.011 0.000
0.000 0.000 15.617
ATOMIC_POSITIONS crystal
Tb 0.000 0.000 0.000
Ti 0.000 0.000 0.215
Ti 0.000 0.000 0.406
Ti 0.000 0.000 0.594
Ti 0.000 0.000 0.785
Co 0.500 0.500 0.136
Co 0.500 0.500 0.317
Co 0.500 0.500 0.500
Co 0.500 0.500 0.683
Co 0.500 0.500 0.864
```

Output
Formation energy from the elements in eV per atom: -0.336
Calculated total energy in eV for the cell shown: -75.10
Mass density in kg/m3: 7565
Spin magnetization in Bohr magnetons per cell: 0.3